Entry 1:
The following is a DFT calculation (GGA-PBE) of crystalline MgCu at its relaxed geometry.

The structure in POSCAR format:
```
MgCu
1.0
-5.778 3.028 -6.898
-1.599 -2.582 0.206
-2.641 1.878 3.036
Cu Mg
4 4
Direct
0.257 0.500 0.000
0.461 0.000 0.000
0.455 0.500 0.500
0.660 0.000 0.500
0.897 0.500 0.500
0.228 0.000 0.500
0.020 0.000 0.000
0.689 0.500 0.000
```

Computed properties:
E, eV/atom: -2.627
SG: Pmmn, No. 59



Entry 2:
The following is a DFT calculation (GGA-PBE) of crystalline MgCu at its relaxed geometry.

The structure in POSCAR format:
```
MgCu
1.0
-0.086 3.199 -3.661
-11.045 1.254 1.354
0.742 3.371 2.928
Cu Mg
8 8
Direct
0.833 0.875 0.500
0.354 0.989 0.500
0.500 0.375 0.000
0.809 0.375 0.500
0.979 0.489 0.000
0.525 0.875 0.000
0.979 0.261 0.000
0.354 0.761 0.500
0.842 0.123 0.500
0.313 0.256 0.500
0.491 0.127 0.000
0.020 0.994 0.000
0.020 0.756 0.000
0.491 0.623 0.000
0.313 0.494 0.500
0.842 0.627 0.500
```

Computed properties:
E, eV/atom: -2.613
SG: Pmmn, No. 59



Entry 3:
The following is a DFT calculation (GGA-PBE) of crystalline Mg3Cu2 at its relaxed geometry.

The structure in POSCAR format:
```
Mg3Cu2
1.0
-5.923 0.000 0.000
2.962 -5.130 0.000
-2.962 1.710 6.094
Cu Mg
4 6
Direct
0.814 0.186 0.558
0.686 0.314 0.942
0.314 0.686 0.058
0.186 0.814 0.442
0.166 0.666 0.750
0.750 0.834 0.750
0.666 0.750 0.250
0.250 0.166 0.250
0.334 0.250 0.750
0.834 0.334 0.250
```

Computed properties:
E, eV/atom: -2.347
SG: R-3c, No. 167



Entry 4:
The following is a DFT calculation (GGA-PBE) of crystalline MgCu at its relaxed geometry.

The structure in POSCAR format:
```
MgCu
1.0
-2.719 -1.017 -3.573
4.831 -2.294 -5.992
-0.262 -4.188 1.392
Mg Cu
5 5
Direct
0.608 0.977 0.500
0.985 0.223 0.500
0.860 0.600 0.500
0.425 0.246 0.000
0.070 0.954 0.000
0.809 0.430 0.000
0.639 0.770 0.000
0.437 0.431 0.500
0.268 0.769 0.500
0.233 0.600 0.000
```

Computed properties:
E, eV/atom: -2.678
SG: Amm2, No. 38



Entry 5:
The following is a DFT calculation (GGA-PBE) of crystalline MgCu at its relaxed geometry.

The structure in POSCAR format:
```
MgCu
1.0
2.290 3.969 0.000
-5.393 5.762 0.000
0.000 0.000 4.477
Mg Cu
5 5
Direct
0.266 0.573 0.000
0.827 0.572 0.500
0.039 0.027 0.000
0.223 0.800 0.500
0.599 0.028 0.500
0.410 0.224 0.000
0.663 0.800 0.000
0.446 0.382 0.500
0.834 0.376 0.000
0.027 0.218 0.500
```

Computed properties:
E, eV/atom: -2.659
SG: Amm2, No. 38



Entry 6:
The following is a DFT calculation (GGA-PBE) of crystalline Mg2Cu at its relaxed geometry.

The structure in POSCAR format:
```
Mg2Cu
1.0
-7.032 -0.159 3.970
-2.381 -6.758 3.728
-0.075 -0.349 8.069
Mg Cu
4 2
Direct
0.375 0.375 0.375
0.375 0.875 0.375
0.875 0.375 0.375
0.375 0.375 0.875
0.250 0.250 0.250
0.500 0.500 0.500
```

Computed properties:
E, eV/atom: -1.424
SG: Fd-3m, No. 227